1.
Entry from the Open Quantum Materials Database: a relaxed DyTm2Al2Zn3Cd crystal (PBE).

a b c (Å): 4.4597 6.9578 6.9578
angles (deg): 120.35 90.00 90.00
With the nearest neighbours (Å) after each atom.
Positions (direct):
Al: 0.5000 0.6687 0.3337  3 Zn 2.67
Al: 0.5000 0.3337 0.6687  3 Zn 2.67
Cd: 0.0000 0.9961 0.9961  6 Zn 2.79-2.82, 2 Tm 3.02, 1 Dy 3.03
Dy: 0.0000 0.4345 0.4345  1 Cd 3.03, 4 Al 3.05, 2 Zn 3.14
Tm: 0.0000 0.5654 0.0016  1 Cd 3.02, 4 Al 3.03, 2 Zn 3.14
Tm: 0.0000 0.0016 0.5654  1 Cd 3.02, 4 Al 3.03, 2 Zn 3.14
Zn: 0.5000 0.2459 0.0000  2 Al 2.67, 2 Cd 2.82, 2 Zn 2.95-2.97
Zn: 0.5000 0.0000 0.2459  2 Al 2.67, 2 Cd 2.82, 2 Zn 2.95-2.97
Zn: 0.5000 0.7542 0.7542  2 Al 2.67, 2 Cd 2.79, 2 Zn 2.95

Computed properties:
Energy   -29.120 eV for the cell shown
Magnetic moment   0.00 μB/f.u.
Symmetry   Amm2 (38)

***

2.
Entry from the Open Quantum Materials Database: a relaxed CsErB4 crystal (PBE).

a b c (Å): 5.6958 5.6958 5.6958
angles (deg): 147.46 121.76 68.32
With the nearest neighbours (Å) after each atom.
Positions (direct):
B: 0.0826 0.7433 0.3393  3 B 1.78-1.88
B: 0.5960 0.2567 0.3393  3 B 1.78-1.88
B: 0.4040 0.7433 0.6607  3 B 1.78-1.88
B: 0.9174 0.2567 0.6607  3 B 1.78-1.88
Cs: 0.5000 0.5000 0.0000  12 B 2.97-3.03, 2 Cs 3.19, 4 Er 3.20
Er: 0.0000 0.0000 0.0000  12 B 2.93-3.06, 2 Er 3.19, 4 Cs 3.20

Computed properties:
Offset from the most stable computed form   2.86 eV/f.u.
Magnetic moment   0.00 μB/f.u.
Symmetry   Immm (71)

***

3.
Entry from the Open Quantum Materials Database: a relaxed PrMo2W2 crystal (PBE).

a b c (Å): 4.3172 4.3172 6.3729
angles (deg): 109.80 109.80 90.00
With the nearest neighbours (Å) after each atom.
Positions (direct):
Mo: 0.6211 0.6211 0.2422  4 W 2.60, 1 Mo 2.71
Mo: 0.3789 0.3789 0.7578  4 W 2.60, 1 Mo 2.71
Pr: 0.0000 0.0000 0.0000  8 Mo 3.34, 8 W 3.53
W: 0.7500 0.2500 0.5000  4 Mo 2.60
W: 0.2500 0.7500 0.5000  4 Mo 2.60

Computed properties:
Magnetic moment   0.08 μB/f.u.
Formation enthalpy at 0 K   441 meV per atom
Symmetry   I4/mmm (139)

***

Q: Number 1 is which compound?
A: DyTm2Al2Zn3Cd